Entry from Alexandria via LeMat-Bulk: a geometry-optimized BaSr2Tl structure (PBEsol).

## Properties
Crystal system ... orthorhombic
Final energy ... -9.36 eV per formula unit
Distance to the lowest polymorph of the same formula ... 0.28 kcal/mol of atoms
ΔE_f ... -0.226 eV/atom

a b c (Å): 4.1776 6.3029 13.1923
angles (deg): 90.00 90.00 90.00
With the nearest neighbours (Å) after each atom.
Space group Immm (No. 71)
Symmetry-distinct sites (fractional):
Ba1 0.0000 0.0000 0.0000 [2 per cell]  4 Tl 3.78, 4 Sr 4.11, 2 Ba 4.18
Sr1 0.0000 0.5000 0.1997 [4 per cell]  2 Tl 3.36
Tl1 0.0000 0.0000 0.5000 [2 per cell]  4 Sr 3.36